! Ce3Al2Si4, optimized geometry, DFT PBE; values from VASP
! - Relative energy among the computed polymorphs: 0 meV per atom
! - Total magnetization: 1.79 μB per formula unit
! - Formation energy without anion corrections: -0.598 eV/atom
! - Symmetry: C2/m, No. 12
&SYSTEM
  ibrav = 0, nat = 9, ntyp = 3
/
ATOMIC_SPECIES
Si 28.09 Si.upf
Al 26.98 Al.upf
Ce 140.12 Ce.upf
ATOMIC_POSITIONS angstrom
Si 2.0837 4.6603 4.2128
Al 2.0837 1.1648 2.0948
Ce 0.0000 3.5673 2.1157
Si 2.0837 2.3916 0.0082
Si 0.0000 0.5577 3.1635
Al 0.0000 4.0532 5.2815
Ce 2.0837 1.6507 5.2607
Si 0.0000 2.8263 7.3681
Ce 0.0000 0.0000 0.0000
CELL_PARAMETERS angstrom
4.1674 0.0000 0.0000
-2.0837 5.4137 -0.9258
0.0000 -0.1957 8.3022